(1)
The following is a DFT calculation (PBE) of a relaxed structure of MnZnTe2.

Cell: 3.9701 3.7657 13.4533 Å, 90.00 90.00 90.00°
Space group Amm2 (No. 38)
Unique sites:
Mn 0.0000 0.0000 0.0000 x2
Zn 0.5000 0.0000 0.2227 x2
Te 0.0000 0.0000 0.6656 x2
Te 0.5000 0.0000 0.4221 x2

Summary:
The total DFT energy (no corrections) comes out at -4.247 eV per atom. Its density of states at the Fermi level is 0.35 states/eV per atom. As for the crystal system: orthorhombic. The value obtained for the uncorrected formation energy is -65.3 meV/atom.

---

(2)
The following is a DFT calculation (PBE) of a relaxed structure of MnZnTe2.

Cell: 7.2444 7.2444 7.2444 Å, 90.00 90.00 90.00°
Space group F-43m (No. 216)
Unique sites:
Mn 0.0000 0.0000 0.0000 x4
Zn 0.2500 0.2500 0.7500 x4
Te 0.0000 0.0000 0.5000 x4
Te 0.2500 0.2500 0.2500 x4

Summary:
The total DFT energy (no corrections) comes out at -3.719 eV per atom. Its density of states at the Fermi level is 0.46 states/eV per atom. As for the crystal system: cubic. The value obtained for the uncorrected formation energy is 462.4 meV/atom.

---

(3)
The following is a DFT calculation (PBE) of a relaxed structure of MnZn4Te.

Cell: 7.4881 7.4881 7.4881 Å, 90.00 90.00 90.00°
Space group F-43m (No. 216)
Unique sites:
Mn 0.0000 0.0000 0.0000 x4
Zn 0.1261 0.1261 0.3739 x16
Te 0.2500 0.2500 0.7500 x4

Summary:
The total DFT energy (no corrections) comes out at -2.633 eV per atom. Its density of states at the Fermi level is 0.62 states/eV per atom. As for the crystal system: cubic. The value obtained for the uncorrected formation energy is 268.2 meV/atom.

---

(4)
The following is a DFT calculation (PBE) of a relaxed structure of MnZn2Te.

Cell: 3.0898 3.0898 28.2398 Å, 90.00 90.00 120.00°
Space group R-3m (No. 166, hexagonal axes)
Unique sites:
Mn 0.0000 0.0000 0.0000 x3
Zn 0.0000 0.0000 0.2642 x6
Te 0.0000 0.0000 0.5000 x3

Summary:
The total DFT energy (no corrections) comes out at -3.381 eV per atom. Its density of states at the Fermi level is 0.96 states/eV per atom. As for the crystal system: trigonal. The value obtained for the uncorrected formation energy is 333.8 meV/atom.